(1)
The following is a DFT calculation (PBE) of crystalline K3HfTa2O9 at its relaxed geometry.

Unit cell a=5.7696 b=5.7696 c=7.0688 alpha=90.00 beta=90.00 gamma=120.00
Element x y z (fractional)
K 0.3333 0.6667 0.6677
K 0.0000 0.0000 0.0000
K 0.6667 0.3333 0.3323
Hf 0.0000 0.0000 0.5000
Ta 0.3333 0.6667 0.1684
Ta 0.6667 0.3333 0.8316
O 0.8297 0.1703 0.6724
O 0.8297 0.6593 0.6724
O 0.3407 0.1703 0.6724
O 0.6593 0.8297 0.3276
O 0.1703 0.3407 0.3276
O 0.1703 0.8297 0.3276
O 0.5000 0.0000 0.0000
O 0.0000 0.5000 0.0000
O 0.5000 0.5000 0.0000

- E (eV per atom) = -8.075
- formation energy (no corrections) (meV/atom) = -2637
- volume (Å³/atom) = 13.59
- density of states at the Fermi level (states/eV/f.u.) = 8.5

***

(2)
The following is a DFT calculation (PBE) of crystalline K4Tb3HfO8 at its relaxed geometry.

Unit cell a=6.8890 b=7.4141 c=6.8890 alpha=117.68 beta=120.00 gamma=90.00
Element x y z (fractional)
K 0.5000 0.0000 0.0000
K 0.5000 0.0000 0.5000
K 0.0000 0.0000 0.0000
K 0.0000 0.0000 0.5000
Tb 0.5000 0.5000 0.0000
Tb 0.5000 0.5000 0.5000
Tb 0.0000 0.5000 0.5000
Hf 0.0000 0.5000 0.0000
O 0.2150 0.6817 0.9667
O 0.2150 0.6817 0.4300
O 0.2704 0.3113 0.5408
O 0.7517 0.6817 0.9667
O 0.2483 0.3183 0.0333
O 0.7296 0.6887 0.4592
O 0.7850 0.3183 0.5700
O 0.7850 0.3183 0.0333

- E (eV per atom) = -6.897
- formation energy (no corrections) (meV/atom) = -2653
- volume (Å³/atom) = 16.07
- density of states at the Fermi level (states/eV/f.u.) = 3.5

***

(3)
The following is a DFT calculation (PBE) of crystalline K2HfTc3O12 at its relaxed geometry.

Unit cell a=7.4081 b=7.4081 c=7.4081 alpha=59.13 beta=59.13 gamma=59.13
Last column: magnetic moment on the atom in μB.
Element x y z (fractional)
K 0.6128 0.6128 0.6128  0.00
K 0.3872 0.3872 0.3872  0.00
Hf 0.0000 0.0000 0.0000  0.01
Tc 0.5000 0.0000 0.0000  0.27
Tc 0.0000 0.5000 0.0000  0.27
Tc 0.0000 0.0000 0.5000  0.27
O 0.3091 0.3091 0.9301  0.01
O 0.9338 0.9338 0.3310  0.03
O 0.3310 0.9338 0.9338  0.03
O 0.9301 0.3091 0.3091  0.01
O 0.9338 0.3310 0.9338  0.03
O 0.3091 0.9301 0.3091  0.01
O 0.6909 0.6909 0.0699  0.01
O 0.0662 0.0662 0.6690  0.03
O 0.6690 0.0662 0.0662  0.03
O 0.0699 0.6909 0.6909  0.01
O 0.0662 0.6690 0.0662  0.03
O 0.6909 0.0699 0.6909  0.01

- E (eV per atom) = -7.469
- formation energy (no corrections) (meV/atom) = -1761
- volume (Å³/atom) = 15.65
- density of states at the Fermi level (states/eV/f.u.) = 11.1

***

(4)
The following is a DFT calculation (PBE) of crystalline KHf2TcO8 at its relaxed geometry.

Unit cell a=4.9435 b=4.8790 c=6.6991 alpha=90.00 beta=90.00 gamma=87.10
Element x y z (fractional)
K 0.0000 0.0000 0.5000
Hf 0.5000 0.4999 0.7388
Hf 0.5000 0.5001 0.2612
Tc 0.0000 0.0000 0.0000
O 0.1966 0.7933 0.1921
O 0.7153 0.7230 0.0000
O 0.8035 0.2068 0.1921
O 0.8034 0.2067 0.8079
O 0.2847 0.2770 0.0000
O 0.1965 0.7932 0.8079
O 0.6573 0.6807 0.5000
O 0.3427 0.3193 0.5000

- E (eV per atom) = -8.177
- formation energy (no corrections) (meV/atom) = -2258
- volume (Å³/atom) = 13.45

***

(5)
The following is a DFT calculation (PBE) of crystalline K2HfTcO6 at its relaxed geometry.

Unit cell a=4.1228 b=5.6956 c=5.6956 alpha=90.00 beta=90.00 gamma=90.00
Last column: magnetic moment on the atom in μB.
Element x y z (fractional)
K 0.1402 0.5000 0.0000  0.00
K 0.1402 0.0000 0.5000  0.00
Hf 0.6522 0.5000 0.5000  0.03
Tc 0.6059 0.0000 0.0000  0.53
O 0.6480 0.2376 0.2376  0.03
O 0.6480 0.2376 0.7624  0.03
O 0.1510 0.5000 0.5000  0.00
O 0.1654 0.0000 0.0000  0.03
O 0.6480 0.7624 0.7624  0.03
O 0.6480 0.7624 0.2376  0.03

- E (eV per atom) = -7.378
- formation energy (no corrections) (meV/atom) = -2152
- volume (Å³/atom) = 13.37
- density of states at the Fermi level (states/eV/f.u.) = 3.7

***

(6)
The following is a DFT calculation (PBE) of crystalline KHfTcO6 at its relaxed geometry.

Unit cell a=5.3913 b=5.3911 c=5.9206 alpha=90.00 beta=90.00 gamma=60.00
Element x y z (fractional)
K 0.0000 0.0000 0.9930
Hf 0.6667 0.6667 0.5269
Tc 0.3333 0.3333 0.4808
O 0.0193 0.3875 0.3126
O 0.3811 0.0287 0.6871
O 0.5902 0.3811 0.6871
O 0.0287 0.5902 0.6871
O 0.3874 0.5932 0.3126
O 0.5932 0.0193 0.3126

- E (eV per atom) = -7.749
- formation energy (no corrections) (meV/atom) = -2064
- volume (Å³/atom) = 16.56

***

(7)
The following is a DFT calculation (PBE) of crystalline KHfTe2O6 at its relaxed geometry.

Unit cell a=7.0579 b=7.1081 c=7.1081 alpha=89.53 beta=78.28 gamma=78.28
Last column: magnetic moment on the atom in μB.
Element x y z (fractional)
K 0.2500 0.9347 0.0653  0.01
K 0.7500 0.0653 0.9347  0.01
Hf 0.2500 0.3162 0.6838  0.05
Hf 0.7500 0.6838 0.3162  0.05
Te 0.1888 0.8313 0.5450  0.11
Te 0.3112 0.4550 0.1687  0.11
Te 0.8112 0.1687 0.4550  0.11
Te 0.6888 0.5450 0.8313  0.11
O 0.2573 0.0161 0.7018  0.02
O 0.2427 0.2982 0.9839  0.02
O 0.7427 0.9839 0.2982  0.02
O 0.7573 0.7018 0.0161  0.02
O 0.4399 0.7395 0.3610  0.04
O 0.0601 0.6390 0.2605  0.04
O 0.5601 0.2605 0.6390  0.04
O 0.9399 0.3610 0.7395  0.04
O 0.7440 0.6986 0.6091  0.03
O 0.7560 0.3909 0.3014  0.03
O 0.2560 0.3014 0.3909  0.03
O 0.2440 0.6091 0.6986  0.03

- E (eV per atom) = -6.434
- formation energy (no corrections) (meV/atom) = -1726
- volume (Å³/atom) = 17.08
- density of states at the Fermi level (states/eV/f.u.) = 1.9

***

(8)
The following is a DFT calculation (PBE) of crystalline KHfTeO5 at its relaxed geometry.

Unit cell a=6.1614 b=6.1614 c=8.0310 alpha=105.99 beta=105.99 gamma=104.23
Last column: magnetic moment on the atom in μB.
Element x y z (fractional)
K 0.3217 0.6783 0.2500  0.00
K 0.6783 0.3217 0.7500  0.00
Hf 0.0000 0.0000 0.5000  0.02
Hf 0.0000 0.0000 0.0000  0.02
Te 0.6988 0.3012 0.2500  0.11
Te 0.3012 0.6988 0.7500  0.11
O 0.0352 0.9648 0.2500  0.02
O 0.9648 0.0352 0.7500  0.02
O 0.8840 0.2983 0.0829  0.18
O 0.1160 0.7017 0.9171  0.18
O 0.7017 0.1160 0.4171  0.18
O 0.2983 0.8840 0.5829  0.18
O 0.7687 0.6291 0.3985  0.08
O 0.2313 0.3709 0.6015  0.08
O 0.3709 0.2313 0.1015  0.08
O 0.6291 0.7687 0.8985  0.08

- E (eV per atom) = -6.862
- formation energy (no corrections) (meV/atom) = -1989
- volume (Å³/atom) = 16.51
- density of states at the Fermi level (states/eV/f.u.) = 2.1

***

(9)
The following is a DFT calculation (PBE) of crystalline KHfTeO6 at its relaxed geometry.

Unit cell a=5.5141 b=5.5141 c=11.6631 alpha=90.00 beta=90.00 gamma=120.00
Last column: magnetic moment on the atom in μB.
Element x y z (fractional)
K 0.0000 0.0000 0.0000  0.00
K 0.0000 0.0000 0.5000  0.00
Hf 0.6667 0.3333 0.2500  -0.01
Hf 0.3333 0.6667 0.7500  -0.01
Te 0.3333 0.6667 0.2500  -0.02
Te 0.6667 0.3333 0.7500  -0.02
O 0.5983 0.6175 0.1560  0.15
O 0.0192 0.4017 0.1560  0.15
O 0.4017 0.0192 0.6560  0.15
O 0.9808 0.5983 0.8440  0.15
O 0.3825 0.4017 0.3440  0.15
O 0.0192 0.6175 0.3440  0.15
O 0.6175 0.0192 0.8440  0.15
O 0.5983 0.9808 0.3440  0.15
O 0.9808 0.3825 0.6560  0.15
O 0.3825 0.9808 0.1560  0.15
O 0.6175 0.5983 0.6560  0.15
O 0.4017 0.3825 0.8440  0.15

- E (eV per atom) = -6.708
- formation energy (no corrections) (meV/atom) = -1825
- volume (Å³/atom) = 17.06
- density of states at the Fermi level (states/eV/f.u.) = 4.8

***

(10)
The following is a DFT calculation (PBE) of crystalline K2HfThO6 at its relaxed geometry.

Unit cell a=6.1858 b=6.1859 c=6.1890 alpha=59.98 beta=59.98 gamma=90.00
Last column: magnetic moment on the atom in μB.
Element x y z (fractional)
K 0.2501 0.7499 0.5000  0.00
K 0.7499 0.2501 0.5000  0.00
Hf 0.0000 0.0000 0.0000  -0.04
Th 0.5000 0.5000 0.0000  0.01
O 0.2383 0.7617 0.0000  0.29
O 0.7615 0.7615 0.0005  0.29
O 0.2385 0.2385 0.5234  0.30
O 0.7617 0.2383 0.0000  0.29
O 0.2385 0.2385 0.9995  0.29
O 0.7615 0.7615 0.4766  0.30

- E (eV per atom) = -7.477
- formation energy (no corrections) (meV/atom) = -2545
- volume (Å³/atom) = 16.74
- density of states at the Fermi level (states/eV/f.u.) = 6.3

***

(11)
The following is a DFT calculation (PBE) of crystalline K2HfTiO5 at its relaxed geometry.

Unit cell a=3.3109 b=6.6225 c=13.2074 alpha=90.00 beta=90.00 gamma=104.48
Element x y z (fractional)
K 0.8300 0.6600 0.7930
K 0.0729 0.1457 0.6767
K 0.1700 0.3400 0.2930
K 0.9271 0.8543 0.1767
Hf 0.7767 0.5535 0.5266
Hf 0.2233 0.4465 0.0266
Ti 0.5185 0.0369 0.9454
Ti 0.4815 0.9631 0.4454
O 0.3764 0.7527 0.9945
O 0.6850 0.3700 0.9304
O 0.4946 0.9891 0.8154
O 0.2745 0.5489 0.6273
O 0.9486 0.8972 0.5147
O 0.6236 0.2473 0.4945
O 0.3150 0.6300 0.4304
O 0.5054 0.0109 0.3154
O 0.7255 0.4511 0.1273
O 0.0514 0.1028 0.0147

- E (eV per atom) = -7.733
- formation energy (no corrections) (meV/atom) = -2751
- volume (Å³/atom) = 15.58
- density of states at the Fermi level (states/eV/f.u.) = 0.0

***

(12)
The following is a DFT calculation (PBE) of crystalline K3HfTi2O8 at its relaxed geometry.

Unit cell a=5.9212 b=5.9212 c=7.6895 alpha=90.00 beta=90.00 gamma=120.00
Last column: magnetic moment on the atom in μB.
Element x y z (fractional)
K 0.3333 0.6667 0.6893  0.00
K 0.6667 0.3333 0.3107  0.00
K 0.0000 0.0000 0.0000  0.00
Hf 0.0000 0.0000 0.5000  -0.02
Ti 0.3333 0.6667 0.2549  -0.05
Ti 0.6667 0.3333 0.7451  -0.05
O 0.3333 0.6667 0.0243  0.26
O 0.6667 0.3333 0.9757  0.26
O 0.1648 0.8352 0.3401  0.07
O 0.8352 0.1648 0.6599  0.07
O 0.1648 0.3296 0.3401  0.07
O 0.8352 0.6704 0.6599  0.07
O 0.6704 0.8352 0.3401  0.07
O 0.3296 0.1648 0.6599  0.07

- E (eV per atom) = -7.512
- formation energy (no corrections) (meV/atom) = -2605
- volume (Å³/atom) = 16.68
- density of states at the Fermi level (states/eV/f.u.) = 7.6

***

What is the formula in the third record? K2HfTc3O12